a) ReNiPt2 after structural relaxation. Source: Alexandria, functional PBE.

SG = Pmmm, No. 47
magnetization = 0.00 μB per formula unit
V = 14.3 Å³ per atom

abc: 3.8770 2.7528 6.0241
angles: 62.76 90.00 90.00
Last column: nearest neighbours and their distance in Å.
Fractional coordinates of all 4 atoms:
Re (0.5000, 0.2500, 0.2500)  2 Ni 2.68, 8 Pt 2.73, 2 Re 2.75
Pt (0.0000, 0.4991, 0.5006)  4 Pt 2.67-2.75, 4 Ni 2.73, 4 Re 2.73
Pt (0.0000, 0.0009, 0.9994)  4 Pt 2.67-2.75, 4 Ni 2.73, 4 Re 2.73
Ni (0.5000, 0.7500, 0.7500)  2 Re 2.68, 8 Pt 2.73, 2 Ni 2.75

b) ReNiPt2 after structural relaxation. Source: Alexandria, functional PBE.

SG = P4mm, No. 99
magnetization = 0.00 μB per formula unit
V = 14.3 Å³ per atom

abc: 2.7246 2.7246 7.6850
angles: 90.00 90.00 89.99
Last column: nearest neighbours and their distance in Å.
Fractional coordinates of all 4 atoms:
Ni (0.5000, 0.5000, 0.7405)  4 Re 2.58, 4 Pt 2.67, 4 Ni 2.72
Pt (0.5000, 0.5000, 0.2610)  8 Pt 2.72-2.88, 4 Re 2.75
Pt (0.0000, 0.0000, 0.9816)  4 Ni 2.67, 8 Pt 2.72-2.88
Re (0.0000, 0.0000, 0.5169)  4 Ni 2.58, 4 Re 2.72, 4 Pt 2.75

c) ReNiPt2 after structural relaxation. Source: Alexandria, functional PBE.

SG = Pmm2, No. 25
magnetization = 0.00 μB per formula unit
V = 14.4 Å³ per atom

abc: 4.4088 2.7173 4.7993
angles: 90.01 90.00 90.00
Last column: nearest neighbours and their distance in Å.
Fractional coordinates of all 4 atoms:
Ni (0.5000, 0.6250, 0.7792)  2 Re 2.65, 8 Pt 2.70-2.82, 2 Ni 2.72
Pt (0.5000, 0.1249, 0.2942)  4 Ni 2.70-2.82, 4 Pt 2.72-2.74, 4 Re 2.73
Pt (0.0000, 0.1251, 0.9548)  4 Re 2.69-2.83, 4 Pt 2.72-2.74, 4 Ni 2.72
Re (0.0000, 0.6250, 0.4719)  2 Ni 2.65, 8 Pt 2.69-2.83, 2 Re 2.72

d) ReNiPt2 after structural relaxation. Source: Alexandria, functional PBE.

SG = C2/m, No. 12
magnetization = 0.00 μB per formula unit
V = 14.3 Å³ per atom

abc: 4.7106 4.7106 4.7220
angles: 80.63 80.63 33.66
Last column: nearest neighbours and their distance in Å.
Fractional coordinates of all 4 atoms:
Pt (0.0011, 0.0011, 0.0000)  3 Re 2.71-2.73, 3 Ni 2.72-2.73, 6 Pt 2.72-2.73
Pt (0.4989, 0.4989, 0.5000)  3 Re 2.71-2.73, 3 Ni 2.72-2.73, 6 Pt 2.72-2.73
Re (0.2500, 0.2500, 0.2500)  6 Pt 2.71-2.73, 4 Ni 2.73, 2 Re 2.73
Ni (0.7500, 0.7500, 0.7500)  6 Pt 2.72-2.73, 4 Re 2.73, 2 Ni 2.73

Referenced to the most stable arrangement, the calculated values in kJ/mol of atoms are a) 1.4; b) 0.0; c) 4.4; d) 6.0.

a) ReNiPt2 after structural relaxation. Source: Alexandria, functional PBE.

SG = I4/mmm, No. 139
magnetization = 0.00 μB per formula unit
V = 14.2 Å³ per atom

abc: 4.7524 4.7524 4.7524
angles: 132.72 132.71 69.10
Last column: nearest neighbours and their distance in Å.
Fractional coordinates of all 4 atoms:
Pt (0.5000, 0.5000, 0.0000)  4 Pt 2.70, 4 Ni 2.73, 4 Re 2.73
Pt (0.0000, 0.0000, 0.0000)  4 Pt 2.70, 4 Ni 2.73, 4 Re 2.73
Re (0.7500, 0.2500, 0.5000)  4 Ni 2.70, 8 Pt 2.73
Ni (0.2500, 0.7500, 0.5000)  4 Re 2.70, 8 Pt 2.73

b) ReNiPt2 after structural relaxation. Source: Alexandria, functional PBE.

SG = F-43m, No. 216
magnetization = 0.00 μB per formula unit
V = 14.5 Å³ per atom

abc: 4.3438 4.3438 4.3438
angles: 60.00 60.00 60.00
Last column: nearest neighbours and their distance in Å.
Fractional coordinates of all 4 atoms:
Pt (0.2500, 0.2500, 0.2500)  4 Ni 2.66, 4 Pt 2.66
Pt (0.0000, 0.0000, 0.0000)  4 Pt 2.66, 4 Re 2.66
Re (0.7500, 0.7500, 0.7500)  4 Pt 2.66, 4 Ni 2.66
Ni (0.5000, 0.5000, 0.5000)  4 Pt 2.66, 4 Re 2.66

c) ReNiPt2 after structural relaxation. Source: Alexandria, functional PBE.

SG = Cmmm, No. 65
magnetization = 0.01 μB per formula unit
V = 14.4 Å³ per atom

abc: 4.7591 4.7591 2.7134
angles: 90.00 90.00 110.52
Last column: nearest neighbours and their distance in Å.
Fractional coordinates of all 4 atoms:
Ni (0.0000, 0.5000, 0.5000)  2 Re 2.71, 2 Ni 2.71, 8 Pt 2.74
Pt (0.0000, 0.0000, 0.0000)  4 Pt 2.71, 4 Ni 2.74, 4 Re 2.74
Pt (0.5000, 0.5000, 0.0000)  4 Pt 2.71, 4 Re 2.74, 4 Ni 2.74
Re (0.5000, 0.0000, 0.5000)  2 Ni 2.71, 2 Re 2.71, 8 Pt 2.74

Referenced to the most stable arrangement, the calculated values in kJ/mol of atoms are a) 0.0; b) 24.4; c) 5.1.

a) ReNiPt2 after structural relaxation. Source: Alexandria, functional PBE.

SG = I-4m2, No. 119
magnetization = 0.00 μB per formula unit
V = 14.3 Å³ per atom

abc: 4.7546 4.7546 4.7546
angles: 132.63 132.63 69.24
Last column: nearest neighbours and their distance in Å.
Fractional coordinates of all 4 atoms:
Pt (0.7500, 0.2500, 0.5000)  4 Ni 2.70, 4 Pt 2.73, 4 Re 2.73
Pt (0.0000, 0.0000, 0.0000)  4 Re 2.70, 4 Ni 2.73, 4 Pt 2.73
Re (0.5000, 0.5000, 0.0000)  8 Pt 2.70-2.73, 4 Ni 2.73
Ni (0.2500, 0.7500, 0.5000)  8 Pt 2.70-2.73, 4 Re 2.73

b) ReNiPt2 after structural relaxation. Source: Alexandria, functional PBE.

SG = I-42d, No. 122
magnetization = 0.00 μB per formula unit
V = 15.8 Å³ per atom

abc: 6.8702 6.8702 5.5432
angles: 51.71 51.71 90.00
Last column: nearest neighbours and their distance in Å.
Fractional coordinates of all 8 atoms:
Pt (0.6206, 0.1250, 0.2500)  2 Ni 2.50, 2 Re 2.54, 2 Pt 2.67
Pt (0.1294, 0.6250, 0.2500)  2 Ni 2.50, 2 Re 2.54, 2 Pt 2.67
Pt (0.3750, 0.3794, 0.7500)  2 Ni 2.50, 2 Re 2.54, 2 Pt 2.67
Pt (0.8750, 0.8706, 0.7500)  2 Ni 2.50, 2 Re 2.54, 2 Pt 2.67
Ni (0.5000, 0.5000, 0.0000)  4 Pt 2.50, 2 Re 2.67
Ni (0.2500, 0.7500, 0.5000)  4 Pt 2.50, 2 Re 2.67
Re (0.7500, 0.2500, 0.5000)  4 Pt 2.54, 2 Ni 2.67
Re (0.0000, 0.0000, 0.0000)  4 Pt 2.54, 2 Ni 2.67

c) ReNiPt2 after structural relaxation. Source: Alexandria, functional PBE.

SG = R3m, No. 160
magnetization = 0.66 μB per formula unit
V = 14.5 Å³ per atom

abc: 2.7834 2.7834 8.7869
angles: 80.89 80.89 60.00
Last column: nearest neighbours and their distance in Å.
Fractional coordinates of all 4 atoms:
Ni (0.6663, 0.6663, 0.0010)  6 Pt 2.65-2.67, 6 Ni 2.78
Pt (0.2516, 0.2516, 0.2452)  3 Ni 2.65, 3 Re 2.72, 6 Pt 2.78
Pt (0.0818, 0.0818, 0.7546)  3 Ni 2.67, 3 Re 2.73, 6 Pt 2.78
Re (0.5003, 0.5003, 0.4992)  6 Pt 2.72-2.73, 6 Re 2.78

d) ReNiPt2 after structural relaxation. Source: Alexandria, functional PBE.

SG = Cm, No. 8
magnetization = 0.00 μB per formula unit
V = 14.3 Å³ per atom

abc: 4.6903 4.6903 4.7642
angles: 80.71 80.71 33.74
Last column: nearest neighbours and their distance in Å.
Fractional coordinates of all 4 atoms:
Ni (0.7530, 0.7530, 0.7452)  7 Pt 2.65-2.84, 3 Re 2.67-2.75, 2 Ni 2.72
Pt (0.0032, 0.0032, 0.9839)  3 Ni 2.68-2.70, 4 Re 2.69-2.80, 5 Pt 2.72-2.82
Pt (0.2470, 0.2470, 0.2706)  4 Ni 2.65-2.84, 3 Re 2.66-2.70, 5 Pt 2.72-2.82
Re (0.4967, 0.4967, 0.5002)  7 Pt 2.66-2.80, 3 Ni 2.67-2.75, 2 Re 2.72

Referenced to the most stable arrangement, the calculated values in kJ/mol of atoms are a) 6.1; b) 58.9; c) 6.8; d) 0.0.

a) ReNi4Pt after structural relaxation. Source: Alexandria, functional PBE.

SG = F-43m, No. 216
magnetization = 0.94 μB per formula unit
V = 12.1 Å³ per atom

abc: 4.6803 4.6803 4.6803
angles: 60.00 60.00 60.00
Last column: nearest neighbours and their distance in Å.
Fractional coordinates of all 6 atoms:
Pt (0.7500, 0.7500, 0.7500)  12 Ni 2.74, 4 Re 2.87
Ni (0.8760, 0.3747, 0.3747)  6 Ni 2.33-2.35
Ni (0.3747, 0.3747, 0.8760)  6 Ni 2.33-2.35
Ni (0.3747, 0.3747, 0.3747)  6 Ni 2.33-2.35
Ni (0.3747, 0.8760, 0.3747)  6 Ni 2.33-2.35
Re (0.0000, 0.0000, 0.0000)  12 Ni 2.74, 4 Pt 2.87

b) ReNi4Pt after structural relaxation. Source: Alexandria, functional PBE.

SG = Cmmm, No. 65
magnetization = 0.00 μB per formula unit
V = 12.4 Å³ per atom

abc: 6.5674 6.5674 4.0734
angles: 108.07 108.07 65.18
Last column: nearest neighbours and their distance in Å.
Fractional coordinates of all 12 atoms:
Ni (0.0386, 0.2056, 0.8721)  5 Ni 2.35-2.63
Ni (0.2056, 0.0386, 0.3721)  5 Ni 2.35-2.63
Ni (0.4615, 0.2944, 0.6279)  5 Ni 2.36-2.63
Ni (0.9614, 0.7944, 0.1279)  5 Ni 2.35-2.63
Ni (0.7944, 0.9614, 0.6279)  5 Ni 2.35-2.63
Ni (0.7056, 0.5385, 0.8721)  5 Ni 2.36-2.63
Ni (0.5385, 0.7056, 0.3721)  5 Ni 2.36-2.63
Ni (0.2944, 0.4615, 0.1279)  5 Ni 2.36-2.63
Pt (0.0000, 0.5000, 0.5000)  2 Re 2.57, 12 Ni 2.70
Pt (0.5000, 0.0000, 0.0000)  2 Re 2.57, 12 Ni 2.70
Re (0.2500, 0.7500, 0.7500)  2 Pt 2.57, 12 Ni 2.67
Re (0.7500, 0.2500, 0.2500)  2 Pt 2.57, 12 Ni 2.67

Referenced to the most stable arrangement, the calculated values in kJ/mol of atoms are a) 0.0; b) 1.9.

a) Re3NiPt after structural relaxation. Source: Alexandria, functional PBE.

SG = Pm-3m, No. 221
magnetization = 0.02 μB per formula unit
V = 16.7 Å³ per atom

abc: 4.3738 4.3738 4.3738
angles: 90.00 90.00 90.00
Last column: nearest neighbours and their distance in Å.
Fractional coordinates of all 5 atoms:
Pt (0.5000, 0.5000, 0.5000)  12 Re 3.09
Re (0.0000, 0.5000, 0.0000)  2 Ni 2.19
Re (0.0000, 0.0000, 0.5000)  2 Ni 2.19
Re (0.5000, 0.0000, 0.0000)  2 Ni 2.19
Ni (0.0000, 0.0000, 0.0000)  6 Re 2.19

b) Re3NiPt after structural relaxation. Source: Alexandria, functional PBE.

SG = Pm-3m, No. 221
magnetization = 0.00 μB per formula unit
V = 21.0 Å³ per atom

abc: 4.7149 4.7149 4.7149
angles: 90.00 90.00 90.00
Last column: nearest neighbours and their distance in Å.
Fractional coordinates of all 5 atoms:
Pt (0.0000, 0.0000, 0.0000)  6 Re 2.36
Re (0.0000, 0.0000, 0.5000)  2 Pt 2.36
Re (0.0000, 0.5000, 0.0000)  2 Pt 2.36
Re (0.5000, 0.0000, 0.0000)  2 Pt 2.36
Ni (0.5000, 0.5000, 0.5000)  12 Re 3.33

Referenced to the most stable arrangement, the calculated values in kJ/mol of atoms are a) 0.0; b) 106.9.